a) Compound: Li2FeGeH
Source: Alexandria via LeMat-Bulk
Functional: PBE
Structure: relaxed

Space group: P4/mmm, No. 123
V in A^3/atom: 10.70

Unit cell a=3.7009 b=3.7009 c=3.9044 alpha=90.00 beta=90.00 gamma=90.00
With the nearest neighbours (Å) after each atom.
Element x y z (fractional)
H  0.0000  0.0000  0.0000  4 Li 1.85, 2 Fe 1.95
Li  0.0000  0.5000  0.0000  2 H 1.85
Fe  0.0000  0.0000  0.5000  2 H 1.95
Li  0.5000  0.0000  0.0000  2 H 1.85
Ge  0.5000  0.5000  0.5000  4 Fe 2.62, 8 Li 2.69

---

b) Compound: Li2FeGeH
Source: Alexandria via LeMat-Bulk
Functional: PBE
Structure: relaxed

Space group: P4/mmm, No. 123
V in A^3/atom: 11.18

Unit cell a=3.5723 b=4.3804 c=3.5723 alpha=90.00 beta=90.00 gamma=90.00
With the nearest neighbours (Å) after each atom.
Element x y z (fractional)
Ge  0.0000  0.5000  0.0000  2 H 2.19
H  0.0000  0.0000  0.0000  4 Li 1.79
Li  0.0000  0.0000  0.5000  2 H 1.79
Li  0.5000  0.0000  0.0000  2 H 1.79
Fe  0.5000  0.5000  0.5000  4 Ge 2.53, 8 Li 2.83

---

Which structure loses on stability? b) does.

---

a) Compound: Fe2GeHPt
Source: Alexandria via LeMat-Bulk
Functional: PBE
Structure: relaxed

Space group: P4/mmm, No. 123
V in A^3/atom: 11.26

Unit cell a=3.7172 b=3.7172 c=4.0744 alpha=90.00 beta=90.00 gamma=90.00
With the nearest neighbours (Å) after each atom.
Element x y z (fractional)
Ge  0.5000  0.5000  0.5000  4 Pt 2.63, 8 Fe 2.76
Fe  0.5000  0.0000  0.0000  2 H 1.86
Fe  0.0000  0.5000  0.0000  2 H 1.86
Pt  0.0000  0.0000  0.5000  2 H 2.04
H  0.0000  0.0000  0.0000  4 Fe 1.86, 2 Pt 2.04

---

b) Compound: Fe2GeHPt
Source: Alexandria via LeMat-Bulk
Functional: PBE
Structure: relaxed

Space group: P4/mmm, No. 123
V in A^3/atom: 11.68

Unit cell a=3.6460 b=3.6460 c=4.3913 alpha=90.00 beta=90.00 gamma=90.00
With the nearest neighbours (Å) after each atom.
Element x y z (fractional)
Ge  0.0000  0.0000  0.5000  2 H 2.20
Pt  0.5000  0.5000  0.5000  4 Ge 2.58, 8 Fe 2.85
Fe  0.0000  0.5000  0.0000  2 H 1.82
Fe  0.5000  0.0000  0.0000  2 H 1.82
H  0.0000  0.0000  0.0000  4 Fe 1.82

---

Which structure loses on stability? b) does.

---

a) Compound: HfFe3Ge
Source: Alexandria via LeMat-Bulk
Functional: PBE
Structure: relaxed

Space group: Pm-3m, No. 221
V in A^3/atom: 15.03

Unit cell a=4.2200 b=4.2200 c=4.2200 alpha=90.00 beta=90.00 gamma=90.00
With the nearest neighbours (Å) after each atom.
Element x y z (fractional)
Fe  0.0000  0.5000  0.0000  2 Ge 2.11
Fe  0.5000  0.0000  0.0000  2 Ge 2.11
Hf  0.5000  0.5000  0.5000  12 Fe 2.98
Ge  0.0000  0.0000  0.0000  6 Fe 2.11
Fe  0.0000  0.0000  0.5000  2 Ge 2.11

---

b) Compound: HfFe3Ge
Source: Alexandria via LeMat-Bulk
Functional: PBE
Structure: relaxed

Space group: Imma, No. 74
V in A^3/atom: 13.98

Unit cell a=4.7497 b=8.8518 c=6.0242 alpha=137.28 beta=113.22 gamma=90.00
With the nearest neighbours (Å) after each atom.
Element x y z (fractional)
Hf  0.7500  0.7671  0.5000  3 Fe 2.59-2.83
Fe  0.7500  0.0592  0.5000  2 Ge 2.37, 6 Fe 2.46-2.60, 1 Hf 2.59
Fe  0.8137  0.3137  0.1273  5 Fe 2.37-2.48, 2 Ge 2.55
Fe  0.3137  0.3137  0.1273  5 Fe 2.37-2.48, 2 Ge 2.55
Fe  0.1863  0.6863  0.8727  5 Fe 2.37-2.48, 2 Ge 2.55
Ge  0.5000  0.0000  0.0000  6 Fe 2.37-2.55
Hf  0.2500  0.2329  0.5000  3 Fe 2.59-2.83
Ge  0.0000  0.5000  0.0000  6 Fe 2.37-2.55
Fe  0.6863  0.6863  0.8727  5 Fe 2.37-2.48, 2 Ge 2.55
Fe  0.2500  0.9408  0.5000  2 Ge 2.37, 6 Fe 2.46-2.60, 1 Hf 2.59

---

Which structure loses on stability? a) does.